{"formula": "MgH3Rh", "functional": "PBE", "state": "relaxed", "sg": "No. 15", "rho_g_cm3": 5.0, "crystal_system": "monoclinic", "energy_ev_per_atom": -4.035, "lattice_angstrom": [[-0.513, -7.974, -0.870], [-1.118, -2.265, -5.206], [3.872, 2.993, -3.088]], "species": ["H", "H", "Rh", "Rh", "Rh", "Rh", "Mg", "H", "H", "H", "Mg", "H", "H", "Mg", "H", "H", "H", "H", "H", "Mg"], "frac_coords": [[0.930, 0.400, 0.605], [0.367, 0.448, 0.336], [0.325, 0.246, 0.502], [0.675, 0.754, 0.498], [0.175, 0.002, 0.746], [0.825, 0.998, 0.254], [0.250, 0.852, 0.352], [0.375, 0.671, 0.802], [0.070, 0.600, 0.395], [0.875, 0.698, 0.829], [0.750, 0.148, 0.648], [0.125, 0.302, 0.171], [0.867, 0.164, 0.052], [0.250, 0.412, 0.912], [0.633, 0.552, 0.664], [0.133, 0.836, 0.948], [0.570, 0.105, 0.900], [0.625, 0.329, 0.198], [0.430, 0.895, 0.100], [0.750, 0.588, 0.088]]}